No. 1
The following is a DFT calculation (PBE+U) of Re2MoRhO after structural relaxation.

abc: 4.0746 4.0746 4.2216
angles: 90.00 90.00 90.00
Closest atoms and distances in Å follow each position.
Space group P4/mmm (No. 123)
Asymmetric unit:
1 Re 0.0000 0.5000 0.0000 [2 per cell]  2 O 2.04
2 Mo 0.0000 0.0000 0.5000 [1 per cell]  4 Rh 2.88, 8 Re 2.93
3 Rh 0.5000 0.5000 0.5000 [1 per cell]  2 O 2.11
4 O 0.5000 0.5000 0.0000 [1 per cell]  4 Re 2.04, 2 Rh 2.11

Computed properties:
Uncorrected energy (eV/cell): -41.7

No. 2
The following is a DFT calculation (PBE+U) of ReSiMoO2 after structural relaxation.

abc: 3.7728 3.7728 5.9767
angles: 90.00 90.00 90.00
Closest atoms and distances in Å follow each position.
Space group P4/mmm (No. 123)
Asymmetric unit:
1 Re 0.0000 0.0000 0.0000 [1 per cell]  4 Si 2.67
2 Si 0.5000 0.5000 0.0000 [1 per cell]  4 Re 2.67
3 Mo 0.5000 0.5000 0.5000 [1 per cell]  4 O 1.89
4 O 0.0000 0.5000 0.5000 [2 per cell]  2 Mo 1.89

Computed properties:
Uncorrected energy (eV/cell): -34.4

No. 3
The following is a DFT calculation (PBE+U) of Sr2ReMoO after structural relaxation.

abc: 5.8040 5.8040 4.8475
angles: 90.00 90.00 90.00
Closest atoms and distances in Å follow each position.
Space group P4/mmm (No. 123)
Asymmetric unit:
1 Sr 0.0000 0.5000 0.0000 [2 per cell]  2 Re 2.90
2 Re 0.0000 0.0000 0.0000 [1 per cell]  2 Mo 2.42
3 Mo 0.0000 0.0000 0.5000 [1 per cell]  2 Re 2.42
4 O 0.5000 0.5000 0.5000 [1 per cell]  8 Sr 3.78, 4 Mo 4.10

Computed properties:
Uncorrected energy (eV/cell): -22.6

Calculated volume (Å³ per cell)
70; 85; 163